The following is a GGA-PBE calculation of an optimized crystal structure of KDy2Tc2N6, from the Alexandria database.

```
data_KDy2Tc2N6
_cell_length_a 6.247
_cell_length_b 6.485
_cell_length_c 6.717
_cell_angle_alpha 94.41
_cell_angle_beta 116.53
_cell_angle_gamma 115.86
_space_group_name_H-M_alt 'P 1'
_space_group_IT_number 1
_space_group_name_Hall 'P 1'
loop_
_atom_site_label
_atom_site_type_symbol
_atom_site_fract_x
_atom_site_fract_y
_atom_site_fract_z
K1 K 0.000 0.000 0.000
Dy1 Dy 0.352 0.668 0.289
Dy2 Dy 0.648 0.332 0.711
Tc1 Tc 0.231 0.670 0.684
Tc2 Tc 0.769 0.330 0.316
N1 N 0.146 0.666 0.914
N2 N 0.298 0.922 0.581
N3 N 0.460 0.569 0.695
N4 N 0.540 0.431 0.305
N5 N 0.702 0.078 0.419
N6 N 0.854 0.334 0.086
```

SG: P-1 (2)
E_form (uncorrected) in eV per atom: -0.50
Electronic total energy in eV per atom: -7.865
Total moment in μB/f.u.: 0.0

=====

The following is a GGA-PBE calculation of an optimized crystal structure of K2DyTc2N4, from the Alexandria database.

```
data_K2DyTc2N4
_cell_length_a 6.681
_cell_length_b 6.681
_cell_length_c 9.244
_cell_angle_alpha 129.71
_cell_angle_beta 129.71
_cell_angle_gamma 30.22
_space_group_name_H-M_alt 'P 1'
_space_group_IT_number 1
_space_group_name_Hall 'P 1'
loop_
_atom_site_label
_atom_site_type_symbol
_atom_site_fract_x
_atom_site_fract_y
_atom_site_fract_z
K1 K 0.157 0.157 0.257
K2 K 0.843 0.843 0.743
Dy1 Dy 0.000 0.000 0.500
Tc1 Tc 0.350 0.350 0.129
Tc2 Tc 0.650 0.650 0.871
N1 N 0.211 0.211 0.828
N2 N 0.465 0.465 0.642
N3 N 0.535 0.535 0.358
N4 N 0.789 0.789 0.172
```

SG: C2/m (12)
E_form (uncorrected) in eV per atom: -0.43
Electronic total energy in eV per atom: -7.185
Total moment in μB/f.u.: 0.0

=====

The following is a GGA-PBE calculation of an optimized crystal structure of KNaDy, from the Alexandria database.

```
data_KNaDy
_cell_length_a 3.809
_cell_length_b 3.809
_cell_length_c 17.600
_cell_angle_alpha 90.00
_cell_angle_beta 90.00
_cell_angle_gamma 90.00
_space_group_name_H-M_alt 'P 1'
_space_group_IT_number 1
_space_group_name_Hall 'P 1'
loop_
_atom_site_label
_atom_site_type_symbol
_atom_site_fract_x
_atom_site_fract_y
_atom_site_fract_z
K1 K 0.250 0.250 0.111
K2 K 0.750 0.750 0.889
Na1 Na 0.250 0.250 0.706
Na2 Na 0.750 0.750 0.294
Dy1 Dy 0.250 0.250 0.438
Dy2 Dy 0.750 0.750 0.562
```

DFT formation energy in kJ per mole of atoms: 14.8
SG: P4/nmm (129)
Electronic total energy in eV per atom: -2.186
Total moment in μB/f.u.: 0.2

=====

The following is a GGA-PBE calculation of an optimized crystal structure of K2NaDy, from the Alexandria database.

```
data_K2NaDy
_cell_length_a 3.753
_cell_length_b 3.753
_cell_length_c 43.798
_cell_angle_alpha 90.00
_cell_angle_beta 90.00
_cell_angle_gamma 120.00
_space_group_name_H-M_alt 'P 1'
_space_group_IT_number 1
_space_group_name_Hall 'P 1'
loop_
_atom_site_label
_atom_site_type_symbol
_atom_site_fract_x
_atom_site_fract_y
_atom_site_fract_z
K1 K 0.000 0.000 0.084
K2 K 0.000 0.000 0.916
K3 K 0.333 0.667 0.582
K4 K 0.333 0.667 0.751
K5 K 0.667 0.333 0.249
K6 K 0.667 0.333 0.418
Na1 Na 0.000 0.000 0.500
Na2 Na 0.333 0.667 0.167
Na3 Na 0.667 0.333 0.833
Dy1 Dy 0.000 0.000 0.000
Dy2 Dy 0.333 0.667 0.667
Dy3 Dy 0.667 0.333 0.333
```

DFT formation energy in kJ per mole of atoms: 35.8
SG: R-3m (166)
Electronic total energy in eV per atom: -1.658
Total moment in μB/f.u.: 0.1

=====

Please write out number 3 again, unchanged.
The following is a GGA-PBE calculation of an optimized crystal structure of KNaDy, from the Alexandria database.

```
data_KNaDy
_cell_length_a 3.809
_cell_length_b 3.809
_cell_length_c 17.600
_cell_angle_alpha 90.00
_cell_angle_beta 90.00
_cell_angle_gamma 90.00
_space_group_name_H-M_alt 'P 1'
_space_group_IT_number 1
_space_group_name_Hall 'P 1'
loop_
_atom_site_label
_atom_site_type_symbol
_atom_site_fract_x
_atom_site_fract_y
_atom_site_fract_z
K1 K 0.250 0.250 0.111
K2 K 0.750 0.750 0.889
Na1 Na 0.250 0.250 0.706
Na2 Na 0.750 0.750 0.294
Dy1 Dy 0.250 0.250 0.438
Dy2 Dy 0.750 0.750 0.562
```

DFT formation energy in kJ per mole of atoms: 14.8
SG: P4/nmm (129)
Electronic total energy in eV per atom: -2.186
Total moment in μB/f.u.: 0.2